[1]
This record from Alexandria via LeMat-Bulk describes crystalline Sm4Zn3Au at its relaxed geometry. The functional is PBE.

Computed properties:
E: -3.65 eV/atom
crystal system: orthorhombic
calculated density: 8.3 Mg/m³
ΔH_f (0 K): -0.404 eV/atom
space-group type: No. 25
ΔE to the lowest computed polymorph: 0.039 eV per atom

The structure in POSCAR format:
```
Sm4Zn3Au
1.0
-3.2808 1.3695 -1.0773
-1.3456 -4.2099 -1.2538
-4.2702 -1.8194 10.6917
Sm Zn Au
4 3 1
direct
0.5000 0.0000 0.6514 Sm
0.0000 0.5000 0.8517 Sm
0.0000 0.0000 0.1475 Sm
0.5000 0.5000 0.3508 Sm
0.5000 0.0000 0.9267 Zn
0.0000 0.5000 0.5681 Zn
0.0000 0.0000 0.4313 Zn
0.5000 0.5000 0.0724 Au
```

=====

[2]
This record from Alexandria via LeMat-Bulk describes crystalline SmErTeSe at its relaxed geometry. The functional is PBE.

Computed properties:
E: -5.53 eV/atom
formation energy without anion corrections: -1.56 eV/atom
crystal system: trigonal
calculated density: 8.0 Mg/m³
space-group type: No. 160

The structure in POSCAR format:
```
SmErTeSe
1.0
-0.9178 -2.0051 3.4612
3.3646 -1.0072 -2.1261
3.4279 6.5979 2.2992
Se Sm Er Te
1 1 1 1
direct
0.2990 0.5474 0.8618 Se
0.1160 0.9560 0.0870 Sm
0.4894 0.1427 0.6475 Er
0.9735 0.3847 0.3733 Te
```

=====

[3]
This record from Alexandria via LeMat-Bulk describes crystalline K2RbInSn at its relaxed geometry. The functional is PBE.

Computed properties:
E: -1.97 eV/atom
crystal system: tetragonal
calculated density: 2.4 Mg/m³
ΔH_f (0 K): 0.007 eV/atom
space-group type: No. 123

The structure in POSCAR format:
```
K2RbInSn
1.0
6.9039 0.0000 0.0000
0.0000 6.9039 0.0000
0.0000 0.0000 5.7780
K Sn In Rb
2 1 1 1
direct
0.5000 0.0000 0.0000 K
0.0000 0.5000 0.0000 K
0.0000 0.0000 0.0000 Sn
0.0000 0.0000 0.5000 In
0.5000 0.5000 0.5000 Rb
```

=====

[4]
This record from Alexandria via LeMat-Bulk describes crystalline CrHg2 at its relaxed geometry. The functional is PBE.

Computed properties:
E: -2.97 eV/atom
crystal system: trigonal
calculated density: 11.7 Mg/m³
ΔH_f (0 K): 0.436 eV/atom
space-group type: No. 164

The structure in POSCAR format:
```
CrHg2
1.0
3.3368 0.0000 0.0000
-1.6684 2.8897 0.0000
0.0000 0.0000 6.6967
Cr Hg
1 2
direct
0.0000 0.0000 0.0000 Cr
0.3333 0.6667 0.3143 Hg
0.6667 0.3333 0.6857 Hg
```

=====

[5]
This record from Alexandria via LeMat-Bulk describes crystalline PrIn4I7 at its relaxed geometry. The functional is PBE.

Computed properties:
E: -2.94 eV/atom
formation energy without anion corrections: -0.72 eV/atom
crystal system: monoclinic
calculated density: 4.4 Mg/m³
space-group type: No. 12

The structure in POSCAR format:
```
PrIn4I7
1.0
5.7625 0.0000 -1.8820
-1.4800 7.0675 -4.5316
0.8022 1.6312 12.2196
In I Pr
4 7 1
direct
0.4184 0.4794 0.8369 In
0.5816 0.5206 0.1631 In
0.3084 0.8898 0.6167 In
0.6916 0.1102 0.3833 In
0.0857 0.8082 0.1713 I
0.2748 0.2186 0.5495 I
0.7252 0.7814 0.4505 I
0.9143 0.1918 0.8287 I
0.8812 0.6379 0.7624 I
0.1188 0.3621 0.2376 I
0.5000 0.0000 0.0000 I
0.0000 0.0000 0.0000 Pr
```

=====

[6]
This record from Alexandria via LeMat-Bulk describes crystalline Ag2AuSe at its relaxed geometry. The functional is PBE.

Computed properties:
E: -3.11 eV/atom
formation energy without anion corrections: 0.00 eV/atom
crystal system: monoclinic
calculated density: 10.3 Mg/m³
space-group type: No. 14

The structure in POSCAR format:
```
Ag2AuSe
1.0
4.8021 0.0000 -0.4307
0.0000 6.8965 0.0000
-0.7733 0.0000 9.6736
Ag Se Au
8 4 4
direct
0.0019 0.8755 0.8739 Ag
0.3009 0.3660 0.6325 Ag
0.6991 0.6340 0.3675 Ag
0.8009 0.1340 0.6325 Ag
0.9981 0.1245 0.1261 Ag
0.4981 0.3755 0.1261 Ag
0.5019 0.6245 0.8739 Ag
0.1991 0.8660 0.3675 Ag
0.8001 0.5565 0.6551 Se
0.1999 0.4435 0.3449 Se
0.6999 0.0565 0.3449 Se
0.3001 0.9435 0.6551 Se
0.4820 0.8638 0.1093 Au
0.9820 0.6362 0.1093 Au
0.0180 0.3638 0.8907 Au
0.5180 0.1362 0.8907 Au
```

=====

[7]
This record from Alexandria via LeMat-Bulk describes crystalline Ta2Cd at its relaxed geometry. The functional is PBE.

Computed properties:
E: -6.68 eV/atom
crystal system: cubic
calculated density: 11.9 Mg/m³
ΔH_f (0 K): 1.524 eV/atom
space-group type: No. 205

The structure in POSCAR format:
```
Ta2Cd
1.0
-3.3619 2.2758 -4.9856
-2.3477 -5.8831 -1.1024
-4.9521 1.2441 3.9073
Ta Cd
8 4
direct
0.1214 0.8786 0.3786 Ta
0.1214 0.6214 0.8786 Ta
0.8786 0.3786 0.1214 Ta
0.3786 0.3786 0.3786 Ta
0.8786 0.1214 0.6214 Ta
0.6214 0.8786 0.1214 Ta
0.3786 0.1214 0.8786 Ta
0.6214 0.6214 0.6214 Ta
0.5000 0.5000 0.0000 Cd
0.0000 0.0000 0.0000 Cd
0.0000 0.5000 0.5000 Cd
0.5000 0.0000 0.5000 Cd
```

=====

[8]
This record from Alexandria via LeMat-Bulk describes crystalline In2Sb at its relaxed geometry. The functional is PBE.

Computed properties:
E: -3.14 eV/atom
formation energy without anion corrections: 0.06 eV/atom
crystal system: monoclinic
calculated density: 7.0 Mg/m³
space-group type: No. 12

The structure in POSCAR format:
```
In2Sb
1.0
-3.6396 2.7671 4.3356
-2.4047 -0.1786 5.8212
4.8536 4.5434 4.9741
In Sb
4 2
direct
0.4968 0.4968 0.2462 In
0.8299 0.8299 0.5926 In
0.1701 0.1701 0.4074 In
0.5032 0.5032 0.7538 In
0.1687 0.1687 0.9300 Sb
0.8313 0.8313 0.0700 Sb
```

=====

[9]
This record from Alexandria via LeMat-Bulk describes crystalline La2Mg6Al3 at its relaxed geometry. The functional is PBE.

Computed properties:
E: -2.92 eV/atom
crystal system: hexagonal
calculated density: 3.0 Mg/m³
ΔH_f (0 K): -0.131 eV/atom
space-group type: No. 189

The structure in POSCAR format:
```
La2Mg6Al3
1.0
-0.4413 2.3635 -3.9016
-1.1854 -7.1577 -4.2020
-6.5612 4.1024 3.2273
Al Mg La
3 6 2
direct
0.5000 0.3923 0.3923 Al
0.5000 0.6077 0.0000 Al
0.5000 0.0000 0.6077 Al
0.0000 0.0000 0.7920 Mg
0.0000 0.2080 0.2080 Mg
0.5000 0.7219 0.7219 Mg
0.5000 0.2781 0.0000 Mg
0.5000 0.0000 0.2781 Mg
0.0000 0.7920 0.0000 Mg
0.0000 0.6667 0.3333 La
0.0000 0.3333 0.6667 La
```

=====

[10]
This record from Alexandria via LeMat-Bulk describes crystalline Nd6TlTe3Ir2 at its relaxed geometry. The functional is PBE.

Computed properties:
E: -5.79 eV/atom
formation energy without anion corrections: -0.95 eV/atom
crystal system: monoclinic
calculated density: 8.3 Mg/m³
space-group type: No. 12

The structure in POSCAR format:
```
Nd6TlTe3Ir2
1.0
4.2795 0.0000 0.0000
0.0000 9.1682 -0.0653
-2.1397 -3.0548 9.3798
Te Nd Ir Tl
3 6 2 1
direct
0.5000 0.5000 0.0000 Te
0.1619 0.8275 0.3237 Te
0.8381 0.1725 0.6763 Te
0.6711 0.1102 0.3422 Nd
0.3289 0.8898 0.6578 Nd
0.9884 0.7386 0.9769 Nd
0.6809 0.5547 0.3619 Nd
0.3191 0.4453 0.6381 Nd
0.0116 0.2614 0.0231 Nd
0.1654 0.3242 0.3308 Ir
0.8346 0.6758 0.6692 Ir
0.5000 0.0000 0.0000 Tl
```

=====

[11]
This record from Alexandria via LeMat-Bulk describes crystalline Nd2DyEr3Se6 at its relaxed geometry. The functional is PBE.

Computed properties:
E: -5.82 eV/atom
formation energy without anion corrections: -1.75 eV/atom
crystal system: monoclinic
calculated density: 8.0 Mg/m³
space-group type: No. 12

The structure in POSCAR format:
```
Nd2DyEr3Se6
1.0
-2.0209 1.6570 3.1216
4.3508 -4.6834 5.3026
5.8555 6.7008 -2.4207
Er Se Nd Dy
3 6 2 1
direct
0.1699 0.8340 0.3398 Er
0.8301 0.1660 0.6602 Er
0.5000 0.5000 0.0000 Er
0.6659 0.0711 0.3318 Se
0.6618 0.5936 0.3235 Se
0.3341 0.9289 0.6682 Se
0.9954 0.2502 0.9909 Se
0.0046 0.7498 0.0091 Se
0.3382 0.4064 0.6765 Se
0.8316 0.6638 0.6632 Nd
0.1684 0.3362 0.3368 Nd
0.5000 0.0000 0.0000 Dy
```

=====

[12]
This record from Alexandria via LeMat-Bulk describes crystalline FePt7Rh4 at its relaxed geometry. The functional is PBE.

Computed properties:
E: -6.58 eV/atom
crystal system: triclinic
calculated density: 16.3 Mg/m³
ΔH_f (0 K): 0.096 eV/atom
space-group type: No. 2

The structure in POSCAR format:
```
FePt7Rh4
1.0
-1.7183 2.7419 3.5937
1.7565 -1.5000 8.6451
4.6917 2.4315 0.7801
Rh Pt Fe
4 7 1
direct
0.4949 0.7448 0.3869 Rh
0.4266 0.2988 0.1131 Rh
0.5051 0.2552 0.6131 Rh
0.5734 0.7012 0.8869 Rh
0.1861 0.0617 0.5396 Pt
0.8139 0.9383 0.4604 Pt
0.1959 0.5869 0.7115 Pt
0.9050 0.3443 0.8145 Pt
0.5000 0.0000 0.0000 Pt
0.8041 0.4131 0.2885 Pt
0.0950 0.6557 0.1855 Pt
0.0000 0.0000 0.0000 Fe
```